DFT (GGA-PBE) results for a relaxed LaCe2Ru2 crystal.

As for the formation enthalpy at 0 K: -0.2220 eV/atom. The value obtained for the total energy is -0.268 hartree per atom. The value obtained for the distance to the lowest polymorph of the same formula is 0.000 eV per atom. The value obtained for the total magnetization is 0.401 μB/f.u.

a = 6.2886 Å, b = 6.2886 Å, c = 9.9516 Å
α = 109.65°, β = 109.65°, γ = 40.15°
Element x y z (fractional)
La (0.1965, 0.1965, 0.3503)
La (0.8035, 0.8035, 0.6497)
Ce (0.3330, 0.3330, 0.9245)
Ce (0.4695, 0.4695, 0.2978)
Ce (0.5305, 0.5305, 0.7022)
Ce (0.6670, 0.6670, 0.0755)
Ru (0.0690, 0.0690, 0.9046)
Ru (0.1124, 0.1124, 0.6221)
Ru (0.8876, 0.8876, 0.3779)
Ru (0.9310, 0.9310, 0.0954)